Computed, not measured: a relaxed BaAlCl2 crystal at the PBE level of DFT.

E, eV/atom: -3.42
Formation energy (no corrections), eV/atom: -1.077
SG: No. 122

Cell: 5.382 5.382 10.279 Å, 74.82 74.82 90.00°
Fractional positions:
Al1 0.500 0.500 0.000
Al2 0.250 0.750 0.500
Cl1 0.375 0.387 0.750
Cl2 0.613 0.125 0.250
Cl3 0.137 0.625 0.250
Cl4 0.875 0.863 0.750
Ba1 0.000 0.000 0.000
Ba2 0.750 0.250 0.500

Computed, not measured: a relaxed Fe2ReN crystal at the PBE level of DFT.

E, eV/atom: -8.96
Formation energy (no corrections), eV/atom: 0.469
SG: No. 122

Cell: 4.800 4.800 5.600 Å, 64.62 64.62 90.00°
Fractional positions:
Fe1 0.537 0.125 0.250
Fe2 0.875 0.787 0.750
Fe3 0.213 0.625 0.250
Fe4 0.375 0.463 0.750
N1 0.500 0.500 0.000
N2 0.250 0.750 0.500
Re1 0.000 0.000 0.000
Re2 0.750 0.250 0.500

Computed, not measured: a relaxed Cs3Dy3PuO8 crystal at the PBE level of DFT.

E, eV/atom: -7.43
Formation energy (no corrections), eV/atom: -2.740
SG: No. 166

Cell: 7.047 7.047 8.093 Å, 115.83 90.00 120.00°
Site moments in Bohr magnetons follow the coordinates.
Fractional positions:
O1 0.214 0.427 0.656  -0.04
O2 0.214 0.943 0.656  -0.04
O3 0.786 0.573 0.344  -0.04
O4 0.719 0.439 0.658  0.00
O5 0.271 0.057 0.344  -0.04
O6 0.729 0.943 0.656  -0.04
O7 0.786 0.057 0.344  -0.04
O8 0.281 0.561 0.342  0.00
Dy1 0.500 0.500 0.500  0.01
Dy2 0.500 0.000 0.500  0.01
Dy3 0.000 0.500 0.500  0.01
Cs1 0.000 0.000 0.000  0.00
Cs2 0.000 0.500 0.000  0.00
Cs3 0.500 0.500 0.000  0.00
Pu1 0.000 0.000 0.500  4.16

Computed, not measured: a relaxed LuZnCuIr crystal at the PBE level of DFT.

E, eV/atom: -5.09
SG: No. 216

Cell: 4.534 4.534 4.534 Å, 60.00 60.00 60.00°
Fractional positions:
Lu1 0.000 0.000 0.000
Zn1 0.500 0.500 0.500
Cu1 0.250 0.250 0.250
Ir1 0.750 0.750 0.750

Computed, not measured: a relaxed Li4GaSi2 crystal at the PBE level of DFT.

E, eV/atom: -3.14
Formation energy (no corrections), eV/atom: -0.066
SG: No. 12

Cell: 3.849 3.861 9.317 Å, 89.85 90.00 119.90°
Fractional positions:
Li1 0.333 0.666 0.357
Li2 0.665 0.331 0.220
Li3 0.667 0.334 0.643
Li4 0.335 0.669 0.780
Ga1 0.000 0.000 0.500
Si1 0.333 0.666 0.054
Si2 0.667 0.334 0.946

Computed, not measured: a relaxed PmErTl crystal at the PBE level of DFT.

E, eV/atom: -4.15
SG: No. 194

Cell: 5.452 5.452 6.772 Å, 90.00 90.00 120.01°
Fractional positions:
Tl1 0.333 0.167 0.250
Tl2 0.667 0.833 0.750
Er1 0.333 0.167 0.750
Er2 0.667 0.833 0.250
Pm1 0.000 0.500 0.500
Pm2 0.000 0.500 0.000